Computed, not measured: Ba2MgOs after structural relaxation at the PBE-GGA level of DFT.

Cell and atoms, written as CIF:
```
data_Ba2MgOs
_chemical_formula_sum 'Ba4 Mg2 Os2'
_space_group_name_H-M_alt 'I m m 2'
_space_group_IT_number 44
_cell_length_a 3.779
_cell_length_b 5.699
_cell_length_c 12.038
_cell_angle_alpha 90.00
_cell_angle_beta 90.00
_cell_angle_gamma 90.00
loop_
_space_group_symop_operation_xyz
'x,y,z'
'-x,-y,z'
'-x,y,z'
'x,-y,z'
'x+1/2,y+1/2,z+1/2'
'-x+1/2,-y+1/2,z+1/2'
'-x+1/2,y+1/2,z+1/2'
'x+1/2,-y+1/2,z+1/2'
loop_
_atom_site_label
_atom_site_type_symbol
_atom_site_fract_x
_atom_site_fract_y
_atom_site_fract_z
Ba1 Ba 0.000 0.000 0.000
Ba2 Ba 0.000 0.500 0.188
Mg1 Mg 0.000 0.500 0.821
Os1 Os 0.000 0.000 0.478
```

## Properties
Total magnetic moment   0.000 μB/atom
Energy of formation from the pure elements   479 meV/atom